Record 1
Zn5NiPt: relaxed, GGA-PBE.

Cell lengths 6.714, 6.714, 8.220 Å; angles 51.23, 51.23, 62.88 degrees
Atoms (fractional coordinates):
Zn 0.742 0.924 0.924
Zn 0.438 0.208 0.198
Zn 0.792 0.562 0.302
Zn 0.076 0.258 0.576
Zn 0.208 0.438 0.698
Zn 0.924 0.742 0.424
Ni 0.000 0.000 0.000
Zn 0.562 0.792 0.802
Zn 0.222 0.778 0.750
Pt 0.420 0.580 0.250
Zn 0.258 0.076 0.076
Ni 0.000 0.000 0.500
Pt 0.580 0.420 0.750
Zn 0.778 0.222 0.250

Properties
E_form = -95 kJ/mol of formula units
SG = C2/c
Calculated total energy = -38.361 eV per cell


Record 2
KBe2Pb: relaxed, GGA-PBE.

Cell lengths 5.595, 5.595, 5.595 Å; angles 137.44, 110.24, 85.26 degrees
Atoms (fractional coordinates):
K 0.519 0.519 0.000
Be 0.870 0.370 0.500
Pb 0.173 0.673 0.500
Be 0.939 0.939 0.000

Properties
E_form = 264 kJ/mol of formula units
SG = Imm2
Calculated total energy = -9.525 eV per cell


Record 3
KGa2TcF: relaxed, GGA-PBE.

Cell lengths 4.922, 4.522, 4.922 Å; angles 90.00, 90.00, 90.00 degrees
Atoms (fractional coordinates):
K 0.500 0.500 0.500
Ga 0.000 0.000 0.500
F 0.000 0.500 0.000
Ga 0.500 0.000 0.000
Tc 0.000 0.000 0.000

Properties
SG = P4/mmm
Calculated total energy = -21.118 eV per cell


Record 4
CdP2SO: relaxed, GGA-PBE.

Cell lengths 5.023, 5.023, 4.814 Å; angles 90.00, 90.00, 90.00 degrees
Atoms (fractional coordinates):
O 0.500 0.500 0.500
Cd 0.000 0.000 0.000
P 0.000 0.500 0.000
P 0.500 0.000 0.000
S 0.000 0.000 0.500

Properties
Polymorph energy (0 for the lowest one) = 1395 meV per atom
SG = P4/mmm
Calculated total energy = -11.972 eV per cell


- Number 3 is which compound?
  KGa2TcF